No. 1
## PmDy2Sn (GGA-PBE)

Data for a geometry-optimized PmDy2Sn structure.

Summary:
D(E_F)   1.1954 states/eV/atom
Electronic total energy   -4.915 eV/atom
Energy above the lowest structure with this stoichiometry   0.00 eV per formula unit
E_form   -425 meV per atom
ρ   8.594 Mg/m³

a b c (Å): 4.828 4.854 4.854
angles (deg): 90.00 90.00 90.00
Atoms (fractional coordinates):
Dy  0.000  0.500  0.000
Dy  0.000  0.000  0.500
Sn  0.500  0.000  0.000
Pm  0.500  0.500  0.500



No. 2
## Pm3Dy2Sn3 (GGA-PBE)

Data for a geometry-optimized Pm3Dy2Sn3 structure.

Summary:
D(E_F)   0.9890 states/eV/atom
Electronic total energy   -5.155 eV/atom
E_form   -722 meV per atom
ρ   7.704 Mg/m³

a b c (Å): 6.662 9.132 9.132
angles (deg): 120.00 90.00 90.00
Atoms (fractional coordinates):
Dy  0.000  0.667  0.333
Dy  0.500  0.333  0.667
Dy  0.000  0.333  0.667
Dy  0.500  0.667  0.333
Sn  0.750  0.000  0.603
Sn  0.250  0.397  0.000
Sn  0.750  0.603  0.000
Sn  0.250  0.000  0.397
Sn  0.250  0.603  0.603
Sn  0.750  0.397  0.397
Pm  0.750  0.759  0.759
Pm  0.750  0.000  0.241
Pm  0.250  0.759  0.000
Pm  0.250  0.241  0.241
Pm  0.250  0.000  0.759
Pm  0.750  0.241  0.000



No. 3
## Pm2DySn5 (GGA-PBE)

Data for a geometry-optimized Pm2DySn5 structure.

Summary:
D(E_F)   0.3887 states/eV/atom
Electronic total energy   -4.852 eV/atom
E_form   -588 meV per atom
ρ   8.002 Mg/m³

a b c (Å): 7.269 7.269 6.582
angles (deg): 123.55 123.55 89.96
Atoms (fractional coordinates):
Sn  0.259  0.696  0.955
Sn  0.259  0.259  0.954
Sn  0.696  0.696  0.954
Sn  0.750  0.750  0.499
Sn  0.696  0.259  0.954
Pm  0.734  0.234  0.467
Pm  0.234  0.734  0.467
Dy  0.151  0.151  0.303



No. 4
## PmDySn2 (GGA-PBE)

Data for a geometry-optimized PmDySn2 structure.

Summary:
D(E_F)   0.7264 states/eV/atom
Electronic total energy   -5.091 eV/atom
E_form   -752 meV per atom
ρ   7.907 Mg/m³

a b c (Å): 4.562 4.343 6.210
angles (deg): 90.00 111.54 90.00
Atoms (fractional coordinates):
Pm  0.717  0.000  0.974
Sn  0.991  0.000  0.520
Sn  0.174  0.500  0.888
Dy  0.449  0.500  0.435